Entry 1:
A geometry-optimized Pu2ReHg structure. Source: the Alexandria database, functional PBE.

abc: 2.9499 2.9499 11.3247
angles: 82.52 82.52 60.00
Last column: nearest neighbours and their distance in Å.
Fractional positions:
Re 0.0000 0.0000 0.0000  2 Pu 2.67, 6 Re 2.95
Hg 0.5000 0.5000 0.5000  6 Hg 2.95
Pu 0.0796 0.0796 0.7611  1 Re 2.67, 6 Pu 2.95
Pu 0.9204 0.9204 0.2389  1 Re 2.67, 6 Pu 2.95

Summary:
calculated density: 17.2 Mg/m³
DFT formation energy: 2.30 eV/f.u.
Fermi-level density of states: 10.39 states/eV/cell
ΔE to the lowest computed polymorph: 576 meV/atom

***

Entry 2:
A geometry-optimized Pu4HgRh2 structure. Source: the Alexandria database, functional PBE.

abc: 4.9129 4.9129 7.6692
angles: 71.32 71.32 60.00
Last column: nearest neighbours and their distance in Å.
Fractional positions:
Pu 0.4289 0.4289 0.7134  4 Pu 2.89-3.04, 3 Rh 2.96
Pu 0.2630 0.2630 0.2109  1 Rh 2.73, 3 Pu 2.89
Pu 0.7370 0.7370 0.7891  1 Rh 2.73, 3 Pu 2.89
Pu 0.5711 0.5711 0.2866  4 Pu 2.89-3.04, 3 Rh 2.96
Hg 0.0000 0.0000 0.0000  2 Rh 2.89, 6 Pu 3.21
Rh 0.1354 0.1354 0.5937  4 Pu 2.73-2.96, 1 Hg 2.89
Rh 0.8646 0.8646 0.4063  4 Pu 2.73-2.96, 1 Hg 2.89

Summary:
calculated density: 15.4 Mg/m³
DFT formation energy: -1.03 eV/f.u.
Fermi-level density of states: 23.82 states/eV/cell
ΔE to the lowest computed polymorph: 0 meV/atom

***

Entry 3:
A geometry-optimized Pu2HgRh structure. Source: the Alexandria database, functional PBE.

abc: 5.0852 5.0852 5.0852
angles: 60.00 60.00 60.00
Last column: nearest neighbours and their distance in Å.
Fractional positions:
Rh 0.5000 0.5000 0.5000  8 Pu 3.11
Hg 0.0000 0.0000 0.0000  8 Pu 3.11
Pu 0.2500 0.2500 0.2500  4 Rh 3.11, 4 Hg 3.11
Pu 0.7500 0.7500 0.7500  4 Rh 3.11, 4 Hg 3.11

Summary:
calculated density: 14.1 Mg/m³
DFT formation energy: -0.54 eV/f.u.
Fermi-level density of states: 17.66 states/eV/cell
ΔE to the lowest computed polymorph: 161 meV/atom

***

Entry 4:
A geometry-optimized Pu2HgRh structure. Source: the Alexandria database, functional PBE.

abc: 3.8753 3.8753 8.4280
angles: 76.71 76.71 60.00
Last column: nearest neighbours and their distance in Å.
Fractional positions:
Rh 0.0000 0.0000 0.0000  6 Pu 2.77
Hg 0.5000 0.5000 0.5000  6 Pu 3.30
Pu 0.7337 0.7337 0.7990  3 Rh 2.77
Pu 0.2663 0.2663 0.2010  3 Rh 2.77

Summary:
calculated density: 12.4 Mg/m³
DFT formation energy: -0.78 eV/f.u.
Fermi-level density of states: 16.76 states/eV/cell
ΔE to the lowest computed polymorph: 102 meV/atom

***

Entry 5:
A geometry-optimized Pu2HgRh structure. Source: the Alexandria database, functional PBE.

abc: 3.5416 3.5416 9.2052
angles: 78.91 78.91 60.00
Last column: nearest neighbours and their distance in Å.
Fractional positions:
Pu 0.0165 0.0165 0.9505  3 Rh 2.66
Pu 0.2491 0.2491 0.2528  3 Hg 3.26, 9 Pu 3.40-3.54
Hg 0.4882 0.4882 0.5354  3 Rh 2.88
Rh 0.7463 0.7463 0.7612  3 Pu 2.66, 3 Hg 2.88

Summary:
calculated density: 13.5 Mg/m³
DFT formation energy: 0.26 eV/f.u.
Fermi-level density of states: 15.13 states/eV/cell
ΔE to the lowest computed polymorph: 361 meV/atom

***

Entry 6:
A geometry-optimized Pu3Hg2Rh3 structure. Source: the Alexandria database, functional PBE.

abc: 5.9134 8.1252 8.1252
angles: 120.00 90.00 90.00
Last column: nearest neighbours and their distance in Å.
Fractional positions:
Pu 0.7500 0.2607 0.0000  3 Rh 2.75-2.90
Pu 0.7500 0.7393 0.7393  3 Rh 2.75-2.90
Pu 0.7500 0.0000 0.2607  3 Rh 2.75-2.90
Pu 0.2500 0.7393 0.0000  3 Rh 2.75-2.90
Pu 0.2500 0.2607 0.2607  3 Rh 2.75-2.90
Pu 0.2500 0.0000 0.7393  3 Rh 2.75-2.90
Hg 0.0000 0.3333 0.6667  6 Rh 2.93, 2 Hg 2.96
Hg 0.5000 0.6667 0.3333  6 Rh 2.93, 2 Hg 2.96
Hg 0.0000 0.6667 0.3333  6 Rh 2.93, 2 Hg 2.96
Hg 0.5000 0.3333 0.6667  6 Rh 2.93, 2 Hg 2.96
Rh 0.7500 0.6182 0.0000  3 Pu 2.75-2.90, 4 Hg 2.93
Rh 0.7500 0.3818 0.3818  3 Pu 2.75-2.90, 4 Hg 2.93
Rh 0.7500 0.0000 0.6182  3 Pu 2.75-2.90, 4 Hg 2.93
Rh 0.2500 0.3818 0.0000  3 Pu 2.75-2.90, 4 Hg 2.93
Rh 0.2500 0.6182 0.6182  3 Pu 2.75-2.90, 4 Hg 2.93
Rh 0.2500 0.0000 0.3818  3 Pu 2.75-2.90, 4 Hg 2.93

Summary:
calculated density: 14.2 Mg/m³
DFT formation energy: -2.23 eV/f.u.
Fermi-level density of states: 44.78 states/eV/cell

***

Entry 7:
A geometry-optimized Pu8HgRh6 structure. Source: the Alexandria database, functional PBE.

abc: 5.8771 5.8771 10.3899
angles: 73.57 73.57 60.00
Last column: nearest neighbours and their distance in Å.
Fractional positions:
Pu 0.5226 0.1898 0.4307  3 Pu 2.38-2.39, 1 Rh 2.50
Pu 0.8102 0.1431 0.5693  3 Pu 2.38-2.39, 1 Rh 2.50
Pu 0.1431 0.4774 0.5693  3 Pu 2.38-2.39, 1 Rh 2.50
Pu 0.6967 0.6967 0.9099  3 Rh 2.96
Pu 0.3033 0.3033 0.0901  3 Rh 2.96
Pu 0.8569 0.5226 0.4307  3 Pu 2.38-2.39, 1 Rh 2.50
Pu 0.1898 0.8569 0.4307  3 Pu 2.38-2.39, 1 Rh 2.50
Pu 0.4774 0.8102 0.5693  3 Pu 2.38-2.39, 1 Rh 2.50
Hg 0.0000 0.0000 0.0000  6 Rh 2.73
Rh 0.2837 0.2084 0.7917  1 Pu 2.50, 1 Hg 2.73, 2 Rh 2.79
Rh 0.7916 0.2837 0.2083  1 Pu 2.50, 1 Hg 2.73, 2 Rh 2.79
Rh 0.2837 0.7163 0.2083  1 Pu 2.50, 1 Hg 2.73, 2 Rh 2.79
Rh 0.7163 0.2837 0.7917  1 Pu 2.50, 1 Hg 2.73, 2 Rh 2.79
Rh 0.2084 0.7163 0.7917  1 Pu 2.50, 1 Hg 2.73, 2 Rh 2.79
Rh 0.7163 0.7916 0.2083  1 Pu 2.50, 1 Hg 2.73, 2 Rh 2.79

Summary:
calculated density: 15.7 Mg/m³
DFT formation energy: -1.74 eV/f.u.
Fermi-level density of states: 45.92 states/eV/cell

***

Entry 8:
A geometry-optimized Pu2HgRh structure. Source: the Alexandria database, functional PBE.

abc: 3.3576 3.3576 8.2221
angles: 90.00 90.00 90.00
Last column: nearest neighbours and their distance in Å.
Fractional positions:
Rh 0.5000 0.5000 0.0000  8 Pu 2.95
Hg 0.5000 0.5000 0.5000  8 Pu 3.35, 4 Hg 3.36
Pu 0.0000 0.0000 0.7877  4 Rh 2.95
Pu 0.0000 0.0000 0.2123  4 Rh 2.95

Summary:
calculated density: 14.2 Mg/m³
DFT formation energy: -1.19 eV/f.u.
Fermi-level density of states: 13.75 states/eV/cell
ΔE to the lowest computed polymorph: 0 meV/atom